5
Lattice="-1.189 -3.794 -2.883 4.765 -0.928 -0.743 0.030 -3.011 3.950" Properties=species:S:1:pos:R:3 comment="PBE AlPdSe2Br, relaxed" dos_at_fermi_per_ev_atom=1.389 formation_energy_uncorrected_ev_per_fu=1.1 crystal_system=tetragonal polymorph_energy_mev_per_atom=0 pbc="T T T"
Pd 1.803 -3.867 0.162
Se -0.594 -1.897 -1.442
Se 2.382 -0.464 -0.372
Br 0.015 -1.506 1.975
Al 0.000 0.000 0.000